[1]
Ti2NbGa | PBE-GGA | relaxed

Computed properties:
density of states at the Fermi level	0.9040	states/eV/atom
calculated volume	142	Å³/cell
space-group type	I-42d
formation enthalpy at 0 K	0.154	eV/atom
magnetization	0.0	μB/f.u.

Unit cell a=10.110 b=10.110 c=10.110 alpha=158.26 beta=158.26 gamma=30.94
Fractional coordinates of all 8 atoms:
Ti 0.122 0.625 0.997
Ti 0.375 0.372 0.497
Ti 0.628 0.125 0.003
Ti 0.875 0.878 0.503
Nb 0.000 0.000 0.000
Nb 0.750 0.250 0.500
Ga 0.250 0.750 0.500
Ga 0.500 0.500 0.000

=====

[2]
PmNd3Th4Se8 | PBE-GGA | relaxed

Computed properties:
density of states at the Fermi level	0.3521	states/eV/atom
calculated volume	422	Å³/cell
space-group type	R-3m
uncorrected energy	-103.56	eV for the cell shown
magnetization	0.0	μB/f.u.

Unit cell a=8.500 b=8.500 c=8.500 alpha=58.75 beta=58.75 gamma=58.75
Fractional coordinates of all 16 atoms:
Pm 0.000 0.000 0.000
Nd 0.000 0.500 0.500
Nd 0.500 0.000 0.500
Nd 0.500 0.500 0.000
Th 0.000 0.000 0.500
Th 0.000 0.500 0.000
Th 0.500 0.000 0.000
Th 0.500 0.500 0.500
Se 0.249 0.249 0.750
Se 0.249 0.750 0.249
Se 0.250 0.250 0.250
Se 0.250 0.751 0.751
Se 0.750 0.249 0.249
Se 0.750 0.750 0.750
Se 0.751 0.250 0.751
Se 0.751 0.751 0.250

=====

[3]
CrAuCCl2 | PBE-GGA | relaxed

Computed properties:
density of states at the Fermi level	1.3711	states/eV/atom
calculated volume	90	Å³/cell
space-group type	P4/mmm
uncorrected energy	-19.39	eV for the cell shown
magnetization	0.1	μB/f.u.

Unit cell a=4.866 b=4.866 c=3.809 alpha=90.00 beta=90.00 gamma=90.00
Fractional coordinates of all 5 atoms:
Cr 0.000 0.000 0.000
Au 0.500 0.500 0.000
C 0.000 0.000 0.500
Cl 0.000 0.500 0.500
Cl 0.500 0.000 0.500

=====

[4]
YHoTeAs | PBE-GGA | relaxed

Computed properties:
density of states at the Fermi level	0.6631	states/eV/atom
calculated volume	108	Å³/cell
space-group type	R3m
uncorrected energy	-24.70	eV for the cell shown
magnetization	0.0	μB/f.u.

Unit cell a=7.665 b=7.665 c=7.665 alpha=31.34 beta=31.34 gamma=31.34
Fractional coordinates of all 4 atoms:
Y 0.000 0.000 0.000
Ho 0.810 0.810 0.810
Te 0.237 0.237 0.237
As 0.408 0.408 0.408